# PBE+U NaMgFe2F6, relaxed
data_NaMgFe2F6
_space_group_name_H-M_alt 'P 1'
_space_group_IT_number 1
_cell_length_a 5.4557
_cell_length_b 5.4588
_cell_length_c 5.9106
_cell_angle_alpha 62.76
_cell_angle_beta 62.68
_cell_angle_gamma 60.46
loop_
_space_group_symop_operation_xyz
'x,y,z'
loop_
_atom_site_label
_atom_site_fract_x
_atom_site_fract_y
_atom_site_fract_z
Na1 0.0000 0.0000 0.0000
Mg1 0.4823 0.4891 0.5443
Fe1 0.2752 0.2823 0.1680
Fe2 0.7966 0.8004 0.6094
F1 0.0932 0.4237 0.7903
F2 0.2163 0.8505 0.3453
F3 0.4206 0.6779 0.8036
F4 0.5945 0.2122 0.3486
F5 0.6830 0.0985 0.7935
F6 0.8451 0.5982 0.3492
# Fermi-level density of states	0.299	states/eV/atom
# magnetization	7.1	μB per cell
# calculated total energy	-5.031	eV per atom